TlPbI2Cl (PBE-GGA, relaxed); energy relative to the elements, uncorrected = -0.804 eV per atom; total energy = -3.008 eV per atom; excess energy over the best structure of this formula in the dataset = 0.0 meV per atom; spin magnetization = 0.00 μB/cell
1.0
2.3319 -7.6911 0.0000
2.3319 7.6911 0.0000
0.0000 0.0000 10.9772
Tl Pb I Cl
2 2 4 2
Cartesian
2.3319 4.3318 8.2329
2.3319 -4.3318 2.7443
2.3319 0.0000 0.0000
2.3319 0.0000 5.4886
2.3319 5.5157 0.6402
2.3319 5.5157 4.8484
2.3319 -5.5157 6.1287
2.3319 -5.5157 10.3370
2.3319 1.0912 2.7443
2.3319 -1.0912 8.2329



TlPbICl2 (PBE-GGA, relaxed); energy relative to the elements, uncorrected = -0.870 eV per atom; total energy = -3.133 eV per atom; spin magnetization = 0.00 μB/cell
1.0
5.6305 0.0000 0.0000
0.0000 5.6305 0.0000
0.0000 0.0000 6.4319
Tl Pb I Cl
1 1 1 2
Cartesian
0.0000 0.0000 0.0000
2.8152 2.8152 3.2159
2.8152 2.8152 0.0000
0.0000 2.8152 3.2159
2.8152 0.0000 3.2159



Tl2PbI3Cl (PBE-GGA, relaxed); energy relative to the elements, uncorrected = -0.690 eV per atom; total energy = -2.824 eV per atom; spin magnetization = 0.00 μB/cell
1.0
-2.8113 3.1490 9.0168
2.8113 -3.1490 9.0168
2.8113 3.1490 -9.0168
Tl Pb I Cl
2 1 3 1
Cartesian
0.0000 0.0000 2.5108
0.0000 0.0000 15.5228
0.0000 0.0000 9.0168
2.8113 0.0000 0.0000
0.0000 0.0000 5.8020
0.0000 0.0000 12.2316
0.0000 3.1490 0.0000



ZnPbI2Cl (PBE-GGA, relaxed); energy relative to the elements, uncorrected = 0.076 eV per atom; total energy = -1.910 eV per atom; spin magnetization = 0.00 μB/cell
1.0
6.7380 0.0000 0.0000
0.0000 6.7380 0.0000
0.0000 0.0000 4.3529
Zn Pb I Cl
1 1 2 1
Cartesian
0.0000 0.0000 0.0000
3.3690 3.3690 0.0000
0.0000 3.3690 2.1764
3.3690 0.0000 2.1764
0.0000 0.0000 2.1764



PdICl (PBE-GGA, relaxed); energy relative to the elements, uncorrected = -0.218 eV per atom; total energy = -3.081 eV per atom; excess energy over the best structure of this formula in the dataset = 0.0 meV per atom; spin magnetization = 0.00 μB/cell
1.0
3.2969 -3.2818 0.0000
3.2969 3.2818 0.0000
-1.7031 0.0000 7.6545
Pd I Cl
2 2 2
Cartesian
2.4453 1.8134 3.8272
3.2969 -1.8134 0.0000
3.8578 0.2606 5.4979
4.7094 -0.2606 1.6706
0.2409 0.0974 7.2657
1.0925 -0.0974 3.4385



PdI2Cl (PBE-GGA, relaxed); energy relative to the elements, uncorrected = -0.029 eV per atom; total energy = -2.564 eV per atom; excess energy over the best structure of this formula in the dataset = 161.2 meV per atom; spin magnetization = 0.00 μB/cell
1.0
-5.0092 5.0092 2.5234
5.0092 -5.0092 2.5234
5.0092 5.0092 -2.5234
Pd I Cl
2 4 2
Cartesian
0.0000 0.0000 0.0000
0.0000 5.0092 1.2617
0.9999 2.5046 0.6309
-2.5046 4.0093 1.8926
-0.9999 7.5138 0.6309
2.5046 6.0090 1.8926
5.0092 0.0000 1.2617
0.0000 0.0000 2.5234



PdICl (PBE-GGA, relaxed); energy relative to the elements, uncorrected = -0.169 eV per atom; total energy = -3.032 eV per atom; excess energy over the best structure of this formula in the dataset = 49.1 meV per atom; spin magnetization = 0.00 μB/cell
1.0
7.4929 -2.4994 0.0000
7.4929 2.4994 0.0000
-1.4258 0.0000 4.5320
Pd I Cl
2 2 2
Cartesian
2.2028 0.0000 2.0099
11.3572 0.0000 2.5221
4.8866 0.0000 2.8440
8.6734 0.0000 1.6880
0.9438 0.0000 4.1033
12.6162 0.0000 0.4287



PdI2Cl (PBE-GGA, relaxed); energy relative to the elements, uncorrected = 0.396 eV per atom; total energy = -2.139 eV per atom; excess energy over the best structure of this formula in the dataset = 586.0 meV per atom; spin magnetization = 0.00 μB/cell
1.0
0.0000 3.6449 3.6449
3.6449 0.0000 3.6449
3.6449 3.6449 0.0000
Pd I Cl
1 2 1
Cartesian
0.0000 0.0000 0.0000
1.8224 1.8224 1.8224
5.4673 5.4673 5.4673
3.6449 3.6449 3.6449



Pd2I3Cl (PBE-GGA, relaxed); energy relative to the elements, uncorrected = -0.126 eV per atom; total energy = -2.940 eV per atom; excess energy over the best structure of this formula in the dataset = 0.0 meV per atom; spin magnetization = 0.00 μB/cell
1.0
12.9827 -2.2412 0.0000
12.9827 2.2412 0.0000
-0.0078 0.0000 7.3546
Pd I Cl
4 6 2
Cartesian
1.3843 0.0000 0.4026
7.9139 0.0000 0.7011
18.0437 0.0000 6.6535
24.5732 0.0000 6.9521
0.5864 0.0000 5.2007
6.4713 0.0000 5.8350
10.1652 0.0000 6.5973
15.7923 0.0000 0.7573
19.4862 0.0000 1.5196
25.3711 0.0000 2.1539
9.0552 0.0000 2.7233
16.9024 0.0000 4.6313



PdICl3 (PBE-GGA, relaxed); energy relative to the elements, uncorrected = -0.006 eV per atom; total energy = -2.463 eV per atom; excess energy over the best structure of this formula in the dataset = 220.6 meV per atom; spin magnetization = 1.60 μB/cell
1.0
4.9482 0.0000 0.0000
0.0000 4.9482 0.0000
0.0000 0.0000 4.9482
Pd I Cl
1 1 3
Cartesian
0.0000 0.0000 0.0000
2.4741 2.4741 2.4741
0.0000 0.0000 2.4741
0.0000 2.4741 0.0000
2.4741 0.0000 0.0000



Pd2I2Cl (PBE-GGA, relaxed); energy relative to the elements, uncorrected = -0.001 eV per atom; total energy = -3.068 eV per atom; excess energy over the best structure of this formula in the dataset = 180.9 meV per atom; spin magnetization = 0.00 μB/cell
1.0
-2.0520 2.0520 7.5563
2.0520 -2.0520 7.5563
2.0520 2.0520 -7.5563
Pd I Cl
2 2 1
Cartesian
2.0520 0.0000 3.7782
0.0000 2.0520 3.7782
0.0000 0.0000 1.9789
0.0000 0.0000 13.1337
0.0000 0.0000 7.5563



PdICl2 (PBE-GGA, relaxed); energy relative to the elements, uncorrected = 0.148 eV per atom; total energy = -2.461 eV per atom; excess energy over the best structure of this formula in the dataset = 267.2 meV per atom; spin magnetization = 0.00 μB/cell
1.0
-3.6182 3.6182 5.0674
3.6182 -3.6182 5.0674
3.6182 3.6182 -5.0674
Pd I Cl
2 2 4
Cartesian
0.0000 0.0000 0.0000
0.0000 3.6182 2.5337
3.6182 0.0000 2.5337
0.0000 0.0000 5.0674
-0.7801 1.8091 1.2668
1.8091 2.8382 3.8005
0.7801 5.4274 1.2668
-1.8091 4.3983 3.8005



Pd2I2Cl (PBE-GGA, relaxed); energy relative to the elements, uncorrected = -0.182 eV per atom; total energy = -3.249 eV per atom; excess energy over the best structure of this formula in the dataset = 0.0 meV per atom; spin magnetization = 0.00 μB/cell
1.0
6.2720 -2.8960 0.0000
6.2720 2.8960 0.0000
-3.0929 0.0000 7.0550
Pd I Cl
4 4 2
Cartesian
-0.6965 0.0000 1.8374
1.2825 0.0000 6.4213
8.1687 0.0000 0.6337
10.1476 0.0000 5.2176
1.8643 0.0000 0.6471
3.8337 0.0000 5.2418
5.6174 0.0000 1.8132
7.5869 0.0000 6.4079
0.0666 0.0000 4.2210
9.3845 0.0000 2.8340



Pd3ICl (PBE-GGA, relaxed); energy relative to the elements, uncorrected = 0.386 eV per atom; total energy = -3.409 eV per atom; excess energy over the best structure of this formula in the dataset = 0.0 meV per atom; spin magnetization = 0.00 μB/cell
1.0
4.7305 0.0000 0.0000
0.0000 4.7305 0.0000
0.0000 0.0000 4.7305
Pd I Cl
3 1 1
Cartesian
0.0000 0.0000 2.3652
0.0000 2.3652 0.0000
2.3652 0.0000 0.0000
2.3652 2.3652 2.3652
0.0000 0.0000 0.0000



PdICl (PBE-GGA, relaxed); energy relative to the elements, uncorrected = -0.171 eV per atom; total energy = -3.034 eV per atom; excess energy over the best structure of this formula in the dataset = 47.2 meV per atom; spin magnetization = 1.68 μB/cell
1.0
3.9468 0.0000 0.0000
-1.9734 3.4180 0.0000
0.0000 0.0000 6.2626
Pd I Cl
1 1 1
Cartesian
0.0000 0.0000 0.0000
0.0000 2.2787 4.7014
1.9734 1.1393 1.3314



PdICl (PBE-GGA, relaxed); energy relative to the elements, uncorrected = -0.166 eV per atom; total energy = -3.029 eV per atom; excess energy over the best structure of this formula in the dataset = 52.0 meV per atom; spin magnetization = 1.75 μB/cell
1.0
3.4131 -1.9701 0.0000
3.4131 1.9701 0.0000
-2.2306 0.0000 6.9055
Pd I Cl
1 1 1
Cartesian
0.0000 0.0000 0.0000
2.2758 0.0000 1.5748
2.3176 0.0000 5.5799



PdICl2 (PBE-GGA, relaxed); energy relative to the elements, uncorrected = 0.561 eV per atom; total energy = -2.048 eV per atom; excess energy over the best structure of this formula in the dataset = 679.5 meV per atom; spin magnetization = 0.00 μB/cell
1.0
0.0000 3.5737 3.5737
3.5737 0.0000 3.5737
3.5737 3.5737 0.0000
Pd I Cl
1 1 2
Cartesian
0.0000 0.0000 0.0000
3.5737 3.5737 3.5737
1.7869 1.7869 1.7869
5.3606 5.3606 5.3606



Pd2I3Cl (PBE-GGA, relaxed); energy relative to the elements, uncorrected = -0.123 eV per atom; total energy = -2.937 eV per atom; excess energy over the best structure of this formula in the dataset = 2.7 meV per atom; spin magnetization = 3.38 μB/cell
1.0
8.0856 0.0000 0.0000
-4.0428 7.0023 0.0000
0.0000 0.0000 6.0800
Pd I Cl
4 6 2
Cartesian
0.0000 0.0000 0.0000
-2.0214 3.5012 0.0000
4.0428 0.0000 0.0000
2.0214 3.5012 0.0000
0.0000 2.3902 1.5198
-1.9728 5.8072 1.5198
2.0699 1.1951 4.5601
1.9729 5.8072 1.5198
6.0156 1.1951 4.5601
4.0428 4.6122 4.5601
0.0000 4.6682 4.7197
4.0428 2.3341 1.3603



PdICl3 (PBE-GGA, relaxed); energy relative to the elements, uncorrected = -0.227 eV per atom; total energy = -2.683 eV per atom; excess energy over the best structure of this formula in the dataset = 0.0 meV per atom; spin magnetization = 0.00 μB/cell
1.0
6.7596 0.0000 0.0000
0.0000 8.0593 0.0000
-1.2883 0.0000 12.3678
Pd I Cl
4 4 12
Cartesian
0.1094 1.2810 1.4391
-0.5348 6.7782 7.6230
6.0061 1.2810 4.7448
5.3619 6.7782 10.9287
-0.4635 3.9616 10.5434
0.1807 4.0977 4.3595
5.2906 3.9616 8.0083
5.9348 4.0977 1.8244
0.3955 1.2483 6.7520
1.0397 6.8110 0.5681
1.2018 0.7539 3.4957
0.5576 7.3054 9.6797
2.0012 2.1482 0.4117
1.3571 5.9111 6.5956
4.1142 2.1482 5.7722
3.4701 5.9111 11.9561
4.9137 0.7539 2.6882
4.2695 7.3054 8.8721
4.4316 1.2483 11.7997
5.0758 6.8110 5.6158



PdICl2 (PBE-GGA, relaxed); energy relative to the elements, uncorrected = -0.119 eV per atom; total energy = -2.728 eV per atom; excess energy over the best structure of this formula in the dataset = 0.0 meV per atom; spin magnetization = 1.80 μB/cell
1.0
1.8031 1.0410 11.5454
-1.8031 1.0410 11.5454
0.0000 -2.0820 11.5454
Pd I Cl
1 1 2
Cartesian
0.0000 0.0000 0.0000
0.0000 0.0000 17.3181
0.0000 0.0000 12.9761
0.0000 0.0000 21.6600